Material: RbCuSb
Method: DFT, GGA-PBE
State: relaxed

The value obtained for the calculated total energy is -3.2548 eV per atom. As for the formation energy without anion corrections: -19 kJ per mole of atoms. The value obtained for the relative energy among the computed polymorphs is 0.0 meV per atom.

Cell and atoms, written as POSCAR:
```
RbCuSb
1.0
-2.6904 3.4185 -0.4967
-4.6143 -1.4714 -4.4314
-5.3547 -0.6273 5.3882
Sb Cu Rb
2 2 2
Direct
0.4656 0.6975 0.3712
0.5344 0.3025 0.6288
0.1802 0.0801 0.5594
0.8198 0.9199 0.4406
0.7248 0.7134 0.8370
0.2752 0.2866 0.1630
```

Material: Sm3TeH3
Method: DFT, GGA-PBE
State: relaxed

The value obtained for the calculated total energy is -4.5282 eV per atom.

Cell and atoms, written as POSCAR:
```
Sm3TeH3
1.0
6.3830 0.0000 0.0000
0.0000 6.3830 0.0000
0.0000 0.0000 6.3830
H Te Sm
6 2 6
Direct
0.2500 0.0000 0.5000
0.0000 0.5000 0.2500
0.5000 0.7500 0.0000
0.7500 0.0000 0.5000
0.0000 0.5000 0.7500
0.5000 0.2500 0.0000
0.5000 0.5000 0.5000
0.0000 0.0000 0.0000
0.0000 0.2500 0.5000
0.0000 0.7500 0.5000
0.5000 0.0000 0.7500
0.7500 0.5000 0.0000
0.5000 0.0000 0.2500
0.2500 0.5000 0.0000
```

Material: LiCuPd2N
Method: DFT, GGA-PBE
State: relaxed

The value obtained for the calculated total energy is -4.9776 eV per atom. As for the formation energy without anion corrections: -3 kJ per mole of atoms. The value obtained for the relative energy among the computed polymorphs is 0.0 meV per atom.

Cell and atoms, written as POSCAR:
```
LiCuPd2N
1.0
4.1865 0.0000 0.0000
0.0000 4.1865 0.0000
0.0000 0.0000 3.7790
Li Cu Pd N
1 1 2 1
Direct
0.5000 0.5000 0.5000
0.0000 0.0000 0.5000
0.0000 0.5000 0.0000
0.5000 0.0000 0.0000
0.0000 0.0000 0.0000
```

Q: Which of these has the lowest calculated total energy?
A: LiCuPd2N

Q: calculated total energy of number 1 (RbCuSb)?
A: -3.2548 eV per atom

Q: What is the formula in the third record?
A: LiCuPd2N

Q: calculated total energy of number 2 (Sm3TeH3)?
A: -4.5282 eV per atom